# ZrCo2Pt (GGA-PBEsol, optimized geometry)
# Total magnetization, μB per cell: 9.74
# DFT formation energy, eV per atom: 0.2158
data_ZrCo2Pt
_cell_length_a 2.7309
_cell_length_b 2.7309
_cell_length_c 26.4425
_cell_angle_alpha 90.00
_cell_angle_beta 90.00
_cell_angle_gamma 120.00
_symmetry_space_group_name_H-M 'R -3 m'
_symmetry_Int_Tables_number 166
_symmetry_space_group_name_Hall '-R 3 2"'
loop_
_atom_site_label
_atom_site_type_symbol
_atom_site_fract_x
_atom_site_fract_y
_atom_site_fract_z
Zr1 Zr 0.0000 0.0000 0.0000
Co1 Co 0.0000 0.0000 0.2454
Pt1 Pt 0.0000 0.0000 0.5000